Material: ScAlTcAu
Method: DFT, GGA-PBE
State: optimized geometry

Summary:
Its spin magnetization is 0.0 μB per formula unit. The value obtained for the final energy is -6.35 eV per atom.

a b c (Å): 4.521 4.521 4.521
angles (deg): 60.00 60.00 60.00
Positions (direct):
1 Sc 0.000 0.000 0.000
2 Au 0.250 0.250 0.250
3 Tc 0.750 0.750 0.750
4 Al 0.500 0.500 0.500

Material: ThSc2AlAu4
Method: DFT, GGA-PBE
State: optimized geometry

Summary:
Its spin magnetization is 0.0 μB per formula unit. The value obtained for the final energy is -5.28 eV per atom.

a b c (Å): 4.691 4.691 9.204
angles (deg): 75.23 75.23 60.00
Positions (direct):
1 Th 0.000 0.000 0.000
2 Sc 0.764 0.764 0.709
3 Sc 0.236 0.236 0.291
4 Al 0.500 0.500 0.500
5 Au 0.395 0.395 0.814
6 Au 0.875 0.875 0.374
7 Au 0.125 0.125 0.626
8 Au 0.605 0.605 0.186

Material: ThScAl2Au2
Method: DFT, GGA-PBE
State: optimized geometry

Summary:
Its spin magnetization is 0.0 μB per formula unit. The value obtained for the final energy is -5.33 eV per atom.

a b c (Å): 4.484 4.484 7.213
angles (deg): 90.00 90.00 120.00
Positions (direct):
1 Th 0.000 0.000 0.000
2 Sc 0.000 0.000 0.500
3 Al 0.667 0.333 0.290
4 Al 0.333 0.667 0.710
5 Au 0.667 0.333 0.711
6 Au 0.333 0.667 0.289

Material: ThScAl2Au4
Method: DFT, GGA-PBE
State: optimized geometry

Summary:
Its spin magnetization is 0.0 μB per formula unit. The value obtained for the final energy is -4.97 eV per atom.

a b c (Å): 4.585 4.585 9.169
angles (deg): 75.52 75.52 60.00
Positions (direct):
1 Th 0.000 0.000 0.000
2 Sc 0.500 0.500 0.500
3 Al 0.762 0.762 0.715
4 Al 0.238 0.238 0.285
5 Au 0.393 0.393 0.821
6 Au 0.874 0.874 0.378
7 Au 0.126 0.126 0.622
8 Au 0.607 0.607 0.179

Material: Th2ScAl4Au3
Method: DFT, GGA-PBE
State: optimized geometry

Summary:
Its spin magnetization is 0.0 μB per formula unit. The value obtained for the final energy is -5.22 eV per atom.

a b c (Å): 4.340 4.340 11.234
angles (deg): 90.00 90.00 90.00
Positions (direct):
1 Th 0.500 0.000 0.243
2 Th 0.000 0.500 0.757
3 Sc 0.500 0.500 0.500
4 Al 0.500 0.500 0.000
5 Al 0.000 0.000 0.000
6 Al 0.500 0.000 0.651
7 Al 0.000 0.500 0.349
8 Au 0.000 0.000 0.500
9 Au 0.500 0.000 0.875
10 Au 0.000 0.500 0.125

Material: ThScAlAu
Method: DFT, GGA-PBE
State: optimized geometry

Summary:
Its spin magnetization is 0.7 μB per formula unit. The value obtained for the final energy is -5.60 eV per atom.

a b c (Å): 5.101 5.101 5.101
angles (deg): 60.00 60.00 60.00
Each line ends with the local moment (μB).
Positions (direct):
1 Sc 0.250 0.250 0.250  0.27
2 Au 0.000 0.000 0.000  0.05
3 Al 0.500 0.500 0.500  0.00
4 Th 0.750 0.750 0.750  0.13